The following is a DFT calculation (PBE-GGA) of an optimized crystal structure of Pm2Al3Zn4Pd.

POSCAR file:
```
Pm2Al3Zn4Pd
1.0
-2.544 -2.963 -1.601
2.661 -0.539 -3.231
5.275 -7.558 5.606
Pm Al Zn Pd
2 3 4 1
Direct
0.500 0.000 0.249
0.000 0.500 0.751
0.000 0.000 0.500
0.500 0.000 0.866
0.000 0.500 0.134
0.500 0.500 0.000
0.000 0.000 0.000
0.500 0.000 0.638
0.000 0.500 0.362
0.500 0.500 0.500
```

**Space group**: P-4m2
**Energy of formation from the pure elements**: -423 kJ/mol of formula units
**Calculated total energy**: -3.54 eV per atom
**Calculated density**: 6.386 g cm⁻³